The following is a PBE with a Hubbard U calculation of a geometry-optimized NiAu2F structure, from Alexandria.

Cell and atoms, written as extended XYZ:
```
4
Lattice="0.0000 3.0785 3.0785 3.0785 0.0000 3.0785 3.0785 3.0785 0.0000" Properties=species:S:1:pos:R:3 pbc="T T T"
Au 4.6178 4.6178 4.6178
Au 1.5393 1.5393 1.5393
F 0.0000 0.0000 0.0000
Ni 3.0785 3.0785 3.0785
```

## Properties
VASP energy: -0.1877 Ry per atom
magnetic moment: 1.0 μB per formula unit